[1]
ThZn9In2 after structural relaxation. Source: Alexandria via LeMat-Bulk, functional GGA-PBE.

abc: 8.9403 8.9403 8.9403
angles: 35.90 35.90 35.90
Closest atoms and distances in Å follow each position.
Fractional coordinates of all 12 atoms:
Th: 0.0000 0.0000 0.0000  18 Zn 3.18-3.46, 2 In 3.48
Zn: 0.0809 0.5853 0.5853  7 Zn 2.60-2.78
Zn: 0.3322 0.3322 0.3322  6 Zn 2.60-2.67
Zn: 0.4147 0.4147 0.9191  7 Zn 2.60-2.78
Zn: 0.4147 0.9191 0.4147  7 Zn 2.60-2.78
Zn: 0.5000 0.5000 0.5000  6 Zn 2.62
Zn: 0.5853 0.0809 0.5853  7 Zn 2.60-2.78
Zn: 0.5853 0.5853 0.0809  7 Zn 2.60-2.78
Zn: 0.6678 0.6678 0.6678  6 Zn 2.60-2.67
Zn: 0.9191 0.4147 0.4147  7 Zn 2.60-2.78
In: 0.1386 0.1386 0.1386  12 Zn 3.08-3.26
In: 0.8614 0.8614 0.8614  12 Zn 3.08-3.26

## Properties
M_tot   0.000 μB per cell
Calculated volume   18.3 Å³/atom
Electronic total energy   -25.19 eV per cell
Crystal system   trigonal

---

[2]
ThZn2In after structural relaxation. Source: Alexandria via LeMat-Bulk, functional GGA-PBE.

abc: 4.3088 5.7700 5.7700
angles: 39.70 90.00 90.00
Closest atoms and distances in Å follow each position.
Fractional coordinates of all 4 atoms:
Th: 0.0000 0.0000 0.0000  7 Zn 3.01-3.11
Zn: 0.0000 0.7227 0.7227  2 Zn 2.57
Zn: 0.5000 0.5939 0.5939  2 Zn 2.57
In: 0.5000 0.3007 0.3007  7 Zn 2.98-3.18

## Properties
M_tot   0.000 μB per cell
Calculated volume   22.9 Å³/atom
Electronic total energy   -13.19 eV per cell
Crystal system   orthorhombic

---

[3]
Th3Zn8In3 after structural relaxation. Source: Alexandria via LeMat-Bulk, functional GGA-PBE.

abc: 8.6011 8.6011 8.6011
angles: 150.28 108.76 79.04
Closest atoms and distances in Å follow each position.
Fractional coordinates of all 14 atoms:
Th: 0.0000 0.0000 0.0000  12 Zn 3.35, 4 In 3.56
Th: 0.3067 0.3067 0.0000  10 Zn 3.16-3.30, 4 In 3.38-3.39
Th: 0.6933 0.6933 0.0000  10 Zn 3.16-3.30, 4 In 3.38-3.39
Zn: 0.0402 0.6647 0.3755  4 Zn 2.50-2.62, 1 In 2.68
Zn: 0.1056 0.8432 0.2625  3 Zn 2.61-2.62
Zn: 0.2893 0.6647 0.6245  4 Zn 2.50-2.62, 1 In 2.68
Zn: 0.4193 0.1568 0.2625  3 Zn 2.61-2.62
Zn: 0.5807 0.8432 0.7375  3 Zn 2.61-2.62
Zn: 0.7107 0.3353 0.3755  4 Zn 2.50-2.62, 1 In 2.68
Zn: 0.8944 0.1568 0.7375  3 Zn 2.61-2.62
Zn: 0.9598 0.3353 0.6245  4 Zn 2.50-2.62, 1 In 2.68
In: 0.2787 0.5000 0.7787  2 Zn 2.68
In: 0.5000 0.0000 0.5000  4 In 3.13, 4 Zn 3.16, 4 Th 3.38
In: 0.7213 0.5000 0.2213  2 Zn 2.68

## Properties
M_tot   0.000 μB per cell
Calculated volume   20.9 Å³/atom
Electronic total energy   -44.54 eV per cell
Crystal system   orthorhombic

---

[4]
Th5Zn3In3 after structural relaxation. Source: Alexandria via LeMat-Bulk, functional GGA-PBE.

abc: 10.1862 10.1862 3.2877
angles: 90.05 90.05 60.00
Closest atoms and distances in Å follow each position.
Fractional coordinates of all 11 atoms:
Th: 0.0000 0.0000 0.0000  2 Zn 3.06, 4 Th 3.29-3.34, 2 In 3.37
Th: 0.0119 0.3214 0.0000  5 Th 3.29-3.34, 6 In 3.63-3.64
Th: 0.3453 0.3095 0.0006  2 Zn 3.06, 4 Th 3.29-3.34, 2 In 3.37
Th: 0.6786 0.9881 0.0000  5 Th 3.29-3.34, 6 In 3.63-3.64
Th: 0.6905 0.6547 0.9994  2 Zn 3.06, 4 Th 3.29-3.34, 2 In 3.37
Zn: 0.2037 0.6548 0.0001  2 Zn 2.50
Zn: 0.3452 0.7963 0.9999  2 Zn 2.50
Zn: 0.4868 0.5132 0.0000  2 Zn 2.50
In: 0.3452 0.0204 0.5000  2 Zn 2.81
In: 0.7109 0.2891 0.5000  2 Zn 2.81
In: 0.9796 0.6548 0.5000  2 Zn 2.81

## Properties
M_tot   0.000 μB per cell
Calculated volume   26.9 Å³/atom
Electronic total energy   -47.47 eV per cell
Crystal system   monoclinic

---

[5]
Th6ZnIn after structural relaxation. Source: Alexandria via LeMat-Bulk, functional GGA-PBE.

abc: 9.6085 9.6085 9.6085
angles: 148.56 148.56 45.06
Closest atoms and distances in Å follow each position.
Fractional coordinates of all 8 atoms:
Th: 0.1134 0.6134 0.5000  2 In 3.29, 2 Zn 3.29, 8 Th 3.55-3.68
Th: 0.2502 0.2502 0.0000  12 Th 3.55-3.68
Th: 0.3866 0.8866 0.5000  2 In 3.29, 2 Zn 3.29, 8 Th 3.55-3.68
Th: 0.6134 0.1134 0.5000  2 In 3.29, 2 Zn 3.29, 8 Th 3.55-3.68
Th: 0.7498 0.7498 0.0000  12 Th 3.55-3.68
Th: 0.8866 0.3866 0.5000  2 In 3.29, 2 Zn 3.29, 8 Th 3.55-3.68
Zn: 0.0000 0.0000 0.0000  8 Th 3.29, 4 In 3.68
In: 0.5000 0.5000 0.0000  8 Th 3.29, 4 Zn 3.68

## Properties
M_tot   0.000 μB per cell
Calculated volume   30.1 Å³/atom
Electronic total energy   -48.89 eV per cell
Crystal system   tetragonal

---

[6]
ThZn2In after structural relaxation. Source: Alexandria via LeMat-Bulk, functional GGA-PBE.

abc: 4.6142 4.6142 4.3219
angles: 90.00 90.00 90.00
Closest atoms and distances in Å follow each position.
Fractional coordinates of all 4 atoms:
Th: 0.0000 0.0000 0.0000  8 Zn 3.16, 4 In 3.26
Zn: 0.0000 0.5000 0.5000  4 In 3.16, 4 Th 3.16, 4 Zn 3.26
Zn: 0.5000 0.0000 0.5000  4 In 3.16, 4 Th 3.16, 4 Zn 3.26
In: 0.5000 0.5000 0.0000  8 Zn 3.16, 4 Th 3.26

## Properties
M_tot   0.000 μB per cell
Calculated volume   23.0 Å³/atom
Electronic total energy   -13.41 eV per cell
Crystal system   tetragonal